[1]
Density functional theory data (PBE) for an optimized crystal structure of Li2Sn2Te3.

abc: 4.627 7.386 7.627
angles: 116.78 107.64 90.03
Space group P-1 (No. 2)
One atom of each set of equivalent atoms:
Li  0.202  0.072  0.404 [2 per cell]
Sn  0.402  0.664  0.804 [2 per cell]
Te  0.000  0.000  0.000 [1 per cell]
Te  0.207  0.695  0.414 [2 per cell]

**Relative energy among the computed polymorphs**: 0.000 eV/atom
**Raw total energy**: -25.06 eV/cell

=====

[2]
Density functional theory data (PBE) for an optimized crystal structure of Li2SnTe.

abc: 7.892 7.892 6.341
angles: 90.00 90.00 90.00
Space group I-42d (No. 122)
One atom of each set of equivalent atoms:
Li  0.215  0.250  0.125 [8 per cell]
Sn  0.000  0.000  0.500 [4 per cell]
Te  0.000  0.000  0.000 [4 per cell]

**Relative energy among the computed polymorphs**: 0.135 eV/atom
**Raw total energy**: -49.32 eV/cell